DFT (PBE-GGA) results for a relaxed structure of CsNd2MnS4.

Cell lengths 7.564, 7.564, 14.252 Å; angles 90.00, 90.00, 148.43 degrees
Fractional positions:
1 Cs 0.100 0.900 0.750
2 Cs 0.900 0.100 0.250
3 Nd 0.368 0.632 0.556
4 Nd 0.368 0.632 0.944
5 Nd 0.632 0.368 0.056
6 Nd 0.632 0.368 0.444
7 Mn 0.173 0.827 0.250
8 Mn 0.827 0.173 0.750
9 S 0.000 0.000 0.000
10 S 0.000 0.000 0.500
11 S 0.259 0.741 0.110
12 S 0.259 0.741 0.390
13 S 0.413 0.587 0.750
14 S 0.587 0.413 0.250
15 S 0.741 0.259 0.610
16 S 0.741 0.259 0.890

Output
density of states at the Fermi level = 2.55 states/eV/f.u.
SG = No. 63
raw formation energy = -1.5877 eV per atom
raw total energy = -6.096 eV/atom